Record 1
VASP calculation (PBE) on an optimized crystal structure of Be2HSe.

Output
Energy above the lowest structure with this stoichiometry: 2.3 kJ per mole of atoms

```
Be2HSe
1.0
3.759 0.000 0.000
1.845 5.263 0.000
0.029 1.678 5.479
Be H Se
4 2 2
Direct
0.000 0.000 0.000
0.080 0.007 0.400
0.468 0.051 0.640
0.674 0.778 0.409
0.065 0.744 0.466
0.916 0.165 0.160
0.617 0.748 0.021
0.834 0.301 0.623
```

***

Record 2
VASP calculation (PBE) on an optimized crystal structure of CsTeN2O.

Output
Formation energy without anion corrections: 0.7127 eV/atom

```
CsTeN2O
1.0
4.318 0.000 0.000
0.000 4.318 0.000
0.000 0.000 4.317
Cs Te N O
1 1 2 1
Direct
0.000 0.000 0.000
0.500 0.500 0.500
0.000 0.500 0.500
0.500 0.000 0.500
0.500 0.500 0.000
```

***

Record 3
VASP calculation (PBE) on an optimized crystal structure of La2GaBiO6.

Output
Formation energy without anion corrections: -2.3410 eV/atom

```
La2GaBiO6
1.0
5.512 0.000 0.000
0.000 5.512 0.000
0.000 0.000 5.346
La Ga Bi O
2 1 1 6
Direct
0.000 0.500 0.000
0.500 0.000 0.000
0.000 0.000 0.590
0.500 0.500 0.558
0.000 0.000 0.241
0.234 0.234 0.737
0.234 0.766 0.737
0.500 0.500 0.126
0.766 0.234 0.737
0.766 0.766 0.737
```

***

Record 4
VASP calculation (PBE) on an optimized crystal structure of CsNa2SrLi.

Output
Energy relative to the elements: 161 meV per atom

```
CsNa2SrLi
1.0
6.331 0.000 0.000
0.000 6.331 0.000
0.000 0.000 6.551
Cs Na Sr Li
1 2 1 1
Direct
0.000 0.000 0.000
0.000 0.500 0.500
0.500 0.000 0.500
0.500 0.500 0.000
0.500 0.500 0.500
```

***

Record 5
VASP calculation (PBE) on an optimized crystal structure of DyNbPb.

Output
Energy relative to the elements: -84 meV per atom

```
DyNbPb
1.0
2.545 -2.545 0.000
2.545 2.545 0.000
-0.003 0.000 11.467
Dy Nb Pb
2 2 2
Direct
0.249 0.249 0.392
0.751 0.751 0.608
0.250 0.250 0.058
0.750 0.750 0.942
0.250 0.250 0.793
0.750 0.750 0.207
```

***

Record 6
VASP calculation (PBE) on an optimized crystal structure of Sr2ScZn3Sn4.

Output
Energy relative to the elements: -427 meV per atom

```
Sr2ScZn3Sn4
1.0
4.697 0.000 0.000
0.000 4.697 0.000
0.000 0.000 11.822
Sr Sc Zn Sn
2 1 3 4
Direct
0.000 0.500 0.239
0.500 0.000 0.761
0.000 0.000 0.500
0.000 0.500 0.868
0.500 0.000 0.132
0.500 0.500 0.500
0.000 0.000 0.000
0.000 0.500 0.642
0.500 0.000 0.358
0.500 0.500 0.000
```

***

Record 7
VASP calculation (PBE) on an optimized crystal structure of LuZr2U.

Output
Energy relative to the elements: 228 meV per atom

```
LuZr2U
1.0
1.607 0.928 10.873
-1.607 0.928 10.873
0.000 -1.855 10.873
Lu Zr U
1 2 1
Direct
0.000 0.000 0.000
0.248 0.248 0.248
0.752 0.752 0.752
0.500 0.500 0.500
```

***

Record 8
VASP calculation (PBE) on an optimized crystal structure of Y2Be2GeRh5.

Output
Energy relative to the elements: -796 meV per atom

```
Y2Be2GeRh5
1.0
9.657 0.000 0.000
0.000 9.657 0.000
0.000 0.000 3.205
Y Be Ge Rh
4 4 2 10
Direct
0.176 0.324 0.000
0.324 0.824 0.000
0.676 0.176 0.000
0.824 0.676 0.000
0.121 0.621 0.000
0.379 0.121 0.000
0.621 0.879 0.000
0.879 0.379 0.000
0.000 0.000 0.000
0.500 0.500 0.000
0.000 0.500 0.500
0.066 0.791 0.500
0.209 0.066 0.500
0.291 0.566 0.500
0.434 0.291 0.500
0.500 0.000 0.500
0.566 0.709 0.500
0.709 0.434 0.500
0.791 0.934 0.500
0.934 0.209 0.500
```

***

Record 9
VASP calculation (PBE) on an optimized crystal structure of ZrZn2Se.

Output
Formation energy without anion corrections: -0.0234 eV/atom

```
ZrZn2Se
1.0
1.644 0.949 8.402
-1.644 0.949 8.402
0.000 -1.898 8.402
Zr Zn Se
1 2 1
Direct
0.000 0.000 0.000
0.242 0.242 0.242
0.758 0.758 0.758
0.500 0.500 0.500
```

***

Record 10
VASP calculation (PBE) on an optimized crystal structure of Li2Ac2NdSn2.

Output
Energy relative to the elements: -455 meV per atom

```
Li2Ac2NdSn2
1.0
2.418 1.396 10.644
-2.418 1.396 10.644
0.000 -2.792 10.644
Li Ac Nd Sn
2 2 1 2
Direct
0.118 0.118 0.118
0.882 0.882 0.882
0.379 0.379 0.379
0.621 0.621 0.621
0.500 0.500 0.500
0.224 0.224 0.224
0.776 0.776 0.776
```

***

Record 11
VASP calculation (PBE) on an optimized crystal structure of InHg3Au.

Output
Energy relative to the elements: 139 meV per atom

```
InHg3Au
1.0
5.394 0.000 0.000
0.000 5.394 0.000
0.000 0.000 5.394
In Hg Au
1 3 1
Direct
0.000 0.000 0.000
0.000 0.500 0.500
0.500 0.000 0.500
0.500 0.500 0.000
0.500 0.500 0.500
```

***

Record 12
VASP calculation (PBE) on an optimized crystal structure of Dy2Ho12Mg.

Output
Energy relative to the elements: 107 meV per atom

```
Dy2Ho12Mg
1.0
3.479 -5.608 0.000
3.479 5.608 0.000
-3.172 0.000 23.883
Dy Ho Mg
4 24 2
Direct
0.024 0.024 0.287
0.475 0.475 0.734
0.525 0.525 0.266
0.976 0.976 0.713
0.006 0.571 0.195
0.050 0.540 0.327
0.141 0.662 0.556
0.150 0.150 0.151
0.163 0.708 0.066
0.170 0.170 0.570
0.292 0.837 0.934
0.338 0.859 0.444
0.345 0.345 0.419
0.373 0.373 0.892
0.429 0.994 0.805
0.460 0.950 0.673
0.540 0.050 0.327
0.571 0.006 0.195
0.627 0.627 0.108
0.655 0.655 0.581
0.662 0.141 0.556
0.708 0.163 0.066
0.830 0.830 0.430
0.837 0.292 0.934
0.850 0.850 0.849
0.859 0.338 0.444
0.950 0.460 0.673
0.994 0.429 0.805
0.224 0.224 0.017
0.776 0.776 0.983
```